(1)
Here is a relaxed Nd3Y6Ho2 crystal from the Alexandria database. Energies are from PBE.

Output
**Total DFT energy (no corrections)**: -58.141 eV/f.u.
**Formation energy**: 4.10 eV/f.u.

abc: 5.6575 5.6575 43.1344
angles: 90.00 90.00 120.00
Last column: nearest neighbours and their distance in Å.
Space group R-3m (No. 166, hexagonal axes)
Unique sites:
Nd 0.0000 0.0000 0.0000  6 Y 3.37
Nd 0.0000 0.0000 0.1447  3 Ho 3.31
Y 0.0000 0.0000 0.2310  3 Ho 3.52, 4 Y 3.57-3.82, 4 Nd 3.73-3.74
Y 0.0000 0.0000 0.3137  5 Y 3.28-3.63, 3 Nd 3.37
Y 0.0000 0.0000 0.3897  4 Y 3.28-3.63, 1 Ho 3.29
Ho 0.0000 0.0000 0.4661  1 Ho 2.92

=====

(2)
Here is a relaxed Cs2CrPdI6 crystal from the Alexandria database. Energies are from PBE.

Output
**Total DFT energy (no corrections)**: -33.071 eV/f.u.
**Energy relative to the elements, uncorrected**: -0.7247 eV per atom

abc: 8.0840 8.0840 11.5255
angles: 90.00 90.00 90.00
Last column: nearest neighbours and their distance in Å.
Space group I4/mmm (No. 139)
Unique sites:
Cs 0.0000 0.5000 0.2500  12 I 4.04-4.06
Cr 0.0000 0.0000 0.0000  6 I 2.82-2.84
Pd 0.0000 0.0000 0.5000  6 I 2.88-2.94
I 0.0000 0.0000 0.2448  1 Cr 2.82, 1 Pd 2.94
I 0.2481 0.2481 0.0000  1 Cr 2.84, 1 Pd 2.88